[1]
Nd2MgSe4 GGA-PBEsol optimized geometry; space-group type = No. 122; ΔE_f (raw) = -1.6690 eV/atom; mass density = 6.31 g/cm3
1.0
-4.284 4.284 4.510
4.284 -4.284 4.510
4.284 4.284 -4.510
Nd Mg Se
4 2 8
Direct
0.375 0.001 0.126
0.751 0.625 0.626
0.875 0.249 0.874
0.999 0.125 0.374
0.250 0.750 0.500
0.500 0.500 0.000
0.126 0.005 0.737
0.140 0.519 0.763
0.269 0.390 0.263
0.481 0.245 0.621
0.610 0.874 0.879
0.624 0.860 0.379
0.755 0.376 0.237
0.995 0.731 0.121


[2]
Nd2MgSe4 GGA-PBEsol optimized geometry; space-group type = No. 227; ΔE_f (raw) = -1.6191 eV/atom; mass density = 5.04 g/cm3
1.0
0.000 5.917 5.917
5.917 0.000 5.917
5.917 5.917 0.000
Nd Mg Se
4 2 8
Direct
0.000 0.000 0.000
0.000 0.000 0.500
0.000 0.500 0.000
0.500 0.000 0.000
0.375 0.375 0.375
0.625 0.625 0.625
0.242 0.753 0.753
0.247 0.247 0.247
0.247 0.247 0.758
0.247 0.758 0.247
0.753 0.242 0.753
0.753 0.753 0.242
0.753 0.753 0.753
0.758 0.247 0.247


[3]
Nd2MgSi2 GGA-PBEsol optimized geometry; space-group type = No. 127; ΔE_f (raw) = -0.7162 eV/atom; mass density = 5.32 g/cm3
1.0
7.327 0.000 0.000
0.000 7.327 0.000
0.000 0.000 4.294
Nd Mg Si
4 2 4
Direct
0.180 0.320 0.000
0.320 0.820 0.000
0.680 0.180 0.000
0.820 0.680 0.000
0.000 0.000 0.500
0.500 0.500 0.500
0.115 0.615 0.500
0.385 0.115 0.500
0.615 0.885 0.500
0.885 0.385 0.500